Entry 1:
{
  "formula": "RbTcIr3",
  "functional": "PBE",
  "state": "optimized geometry",
  "lattice_angstrom": [[4.7060, 0.0000, 0.0000], [0.0000, 4.7060, 0.0000], [0.0000, 0.0000, 4.7060]],
  "species": ["Rb", "Tc", "Ir", "Ir", "Ir"],
  "fractional_positions": [[0.0000, 0.0000, 0.0000], [0.5000, 0.5000, 0.5000], [0.0000, 0.0000, 0.5000], [0.0000, 0.5000, 0.0000], [0.5000, 0.0000, 0.0000]],
  "de_polymorph_ev_per_atom": 2.312,
  "rho_g_cm3": 12.111,
  "m_tot_mub_per_atom": 0.000,
  "formation_energy_ev_per_atom": 3.696
}

=====

Entry 2:
{
  "formula": "RbTcIr",
  "functional": "PBE",
  "state": "optimized geometry",
  "lattice_angstrom": [[3.9591, 0.0000, 0.0000], [0.0001, 3.9785, 0.0000], [0.0583, 1.8581, 12.2298]],
  "species": ["Rb", "Rb", "Tc", "Tc", "Ir", "Ir"],
  "fractional_positions": [[0.0000, 0.0000, 0.0000], [0.4894, 0.7088, 0.6300], [0.4933, 0.3272, 0.3763], [0.4951, 0.8831, 0.2565], [0.9932, 0.8225, 0.3861], [0.9952, 0.3878, 0.2461]],
  "de_polymorph_ev_per_atom": 0.078,
  "rho_g_cm3": 6.477,
  "m_tot_mub_per_atom": 0.000,
  "formation_energy_ev_per_atom": 0.532
}